Entry 1:
Density functional theory data (PBE-GGA) for Zr4Al after structural relaxation.

As for the volume: 25.67 Å³ per atom. The value obtained for the formation energy is 3.27 eV/f.u. The value obtained for the calculated total energy is -34.7 eV per cell. As for the energy relative to the lowest polymorph listed for this composition: 824 meV per atom.

a = 5.044 Å, b = 5.044 Å, c = 5.044 Å
α = 90.00°, β = 90.00°, γ = 90.00°
Space group Pm-3m (No. 221)
Asymmetric unit:
Zr 0.000 0.000 0.000
Zr 0.000 0.500 0.500
Al 0.500 0.500 0.500


Entry 2:
Density functional theory data (PBE-GGA) for TaInCo2 after structural relaxation.

As for the volume: 15.72 Å³ per atom. The value obtained for the formation energy is 1.52 eV/f.u. The value obtained for the calculated total energy is -81.8 eV per cell.

a = 2.8986 Å, b = 2.8986 Å, c = 25.9226 Å
α = 90.00°, β = 90.00°, γ = 120.00°
Space group R3m (No. 160, hexagonal axes)
Asymmetric unit:
Ta 0.0000 0.0000 0.0000
In 0.0000 0.0000 0.7667
Co 0.0000 0.0000 0.2520
Co 0.0000 0.0000 0.5173


Entry 3:
Density functional theory data (PBE-GGA) for In2TeMo after structural relaxation.

As for the volume: 24.64 Å³ per atom. The value obtained for the uncorrected formation energy is 1.33 eV/f.u. The value obtained for the calculated total energy is -36.2 eV per cell.

a = 3.453 Å, b = 5.389 Å, c = 10.593 Å
α = 90.00°, β = 90.00°, γ = 90.00°
Space group Cmm2 (No. 35)
Asymmetric unit:
In 0.000 0.000 0.000
In 0.000 0.500 0.260
Te 0.000 0.000 0.592
Mo 0.000 0.500 0.784